Nd4NiPb2 after structural relaxation, computed with GGA-PBE.

Results
The space group is P2_1/m. The crystal system is monoclinic. As for the energy above the most stable polymorph in this dataset: 0 meV per atom. The formation energy comes out at -0.375 eV per atom.

a = 6.6452 Å, b = 6.8956 Å, c = 9.5970 Å
α = 90.00°, β = 103.94°, γ = 90.00°
Sites, in units of the cell vectors:
Nd1 0.1857 0.2500 0.1007
Nd2 0.2731 0.7500 0.3908
Nd3 0.2903 0.0011 0.7567
Nd4 0.2903 0.4989 0.7567
Nd5 0.7097 0.5011 0.2433
Nd6 0.7097 0.9989 0.2433
Nd7 0.7269 0.2500 0.6092
Nd8 0.8143 0.7500 0.8993
Ni1 0.4610 0.2500 0.3562
Ni2 0.5390 0.7500 0.6438
Pb1 0.1214 0.2500 0.4459
Pb2 0.3113 0.7500 0.0553
Pb3 0.6887 0.2500 0.9447
Pb4 0.8786 0.7500 0.5541

---

NdNiPdPb after structural relaxation, computed with GGA-PBE.

Results
The space group is F-43m. The crystal system is cubic. The formation energy comes out at -0.387 eV per atom.

a = 4.8824 Å, b = 4.8824 Å, c = 4.8824 Å
α = 60.00°, β = 60.00°, γ = 60.00°
Sites, in units of the cell vectors:
Nd1 0.0000 0.0000 0.0000
Ni1 0.2500 0.2500 0.2500
Pd1 0.7500 0.7500 0.7500
Pb1 0.5000 0.5000 0.5000

---

NdNiRhPb after structural relaxation, computed with GGA-PBE.

Results
The space group is F-43m. The crystal system is cubic. The formation energy comes out at -0.289 eV per atom.

a = 4.8228 Å, b = 4.8228 Å, c = 4.8228 Å
α = 60.00°, β = 60.00°, γ = 60.00°
Sites, in units of the cell vectors:
Nd1 0.0000 0.0000 0.0000
Ni1 0.7500 0.7500 0.7500
Rh1 0.2500 0.2500 0.2500
Pb1 0.5000 0.5000 0.5000

---

NdZnNiPb after structural relaxation, computed with GGA-PBE.

Results
The space group is F-43m. The crystal system is cubic. The formation energy comes out at -0.208 eV per atom.

a = 4.9057 Å, b = 4.9057 Å, c = 4.9057 Å
α = 60.00°, β = 60.00°, γ = 60.00°
Sites, in units of the cell vectors:
Nd1 0.0000 0.0000 0.0000
Zn1 0.7500 0.7500 0.7500
Ni1 0.2500 0.2500 0.2500
Pb1 0.5000 0.5000 0.5000

---

NdNiPd after structural relaxation, computed with GGA-PBE.

Results
The space group is C2/m. The crystal system is monoclinic. The formation energy comes out at -0.296 eV per atom.

a = 5.2984 Å, b = 5.2984 Å, c = 4.9746 Å
α = 111.18°, β = 111.18°, γ = 63.95°
Sites, in units of the cell vectors:
Nd1 0.1322 0.1322 0.3693
Nd2 0.8678 0.8678 0.6307
Ni1 0.4711 0.4711 0.7263
Ni2 0.5289 0.5289 0.2737
Pd1 0.0000 0.5000 0.0000
Pd2 0.5000 0.0000 0.0000

---

NdNi2Pd after structural relaxation, computed with GGA-PBE.

Results
The space group is P4/mmm. The crystal system is tetragonal. The formation energy comes out at -0.275 eV per atom.

a = 4.0945 Å, b = 4.0945 Å, c = 3.9344 Å
α = 90.00°, β = 90.00°, γ = 90.00°
Sites, in units of the cell vectors:
Nd1 0.0000 0.0000 0.0000
Ni1 0.0000 0.5000 0.5000
Ni2 0.5000 0.0000 0.5000
Pd1 0.5000 0.5000 0.0000

---

Nd12NiPd6 after structural relaxation, computed with GGA-PBE.

Results
The space group is R-3. The crystal system is trigonal. The formation energy comes out at -0.418 eV per atom.

a = 8.4447 Å, b = 8.4447 Å, c = 8.4447 Å
α = 98.43°, β = 98.43°, γ = 98.43°
Sites, in units of the cell vectors:
Nd1 0.0416 0.6829 0.9264
Nd2 0.0736 0.9584 0.3171
Nd3 0.1819 0.4182 0.5789
Nd4 0.3171 0.0736 0.9584
Nd5 0.4182 0.5789 0.1819
Nd6 0.4211 0.8181 0.5818
Nd7 0.5789 0.1819 0.4182
Nd8 0.5818 0.4211 0.8181
Nd9 0.6829 0.9264 0.0416
Nd10 0.8181 0.5818 0.4211
Nd11 0.9264 0.0416 0.6829
Nd12 0.9584 0.3171 0.0736
Ni1 0.0000 0.0000 0.0000
Pd1 0.1295 0.6203 0.3081
Pd2 0.3081 0.1295 0.6203
Pd3 0.3797 0.6919 0.8705
Pd4 0.6203 0.3081 0.1295
Pd5 0.6919 0.8705 0.3797
Pd6 0.8705 0.3797 0.6919

---

Nd2NiPd after structural relaxation, computed with GGA-PBE.

Results
The space group is Amm2. The crystal system is orthorhombic. As for the energy above the most stable polymorph in this dataset: 1 meV per atom. The formation energy comes out at -0.549 eV per atom.

a = 4.4859 Å, b = 5.7034 Å, c = 5.7034 Å
α = 40.02°, β = 90.00°, γ = 90.00°
Sites, in units of the cell vectors:
Nd1 0.0000 0.0000 0.0000
Nd2 0.5000 0.2759 0.2759
Ni1 0.0000 0.7194 0.7194
Pd1 0.5000 0.5606 0.5606